No. 1
6
Lattice="-3.991 -3.052 -3.290 -5.570 2.133 -0.703 -1.748 2.129 -5.336" Properties=species:S:1:pos:R:3 comment="GGA-PBE YIn4Au, relaxed" total_energy_ry_per_atom=-0.2541 sg="F-43m, No. 216" dos_ef_per_ev_atom=0.788 rho_g_cm3=8.08 e_form_mev_per_atom=-7 pbc="T T T"
Y -8.482 0.907 -6.997
In -6.237 -1.074 -5.144
In -5.114 1.519 -6.168
In -7.027 1.521 -3.849
In -4.239 0.453 -3.497
Au 0.000 0.000 0.000


No. 2
12
Lattice="-1.905 -1.232 -3.528 4.271 -5.327 -0.446 -4.401 -3.839 3.716" Properties=species:S:1:pos:R:3 comment="GGA-PBE DyCoSi, relaxed" e_form_raw_ev_per_atom=-0.726 total_energy_ry_per_atom=-0.4731 sg="Pnma, No. 62" dos_ef_per_ev_atom=0.559 rho_g_cm3=8.34 pbc="T T T"
Dy -2.921 -3.909 -0.798
Dy 0.886 -6.489 0.540
Dy -0.173 -2.672 -2.714
Dy -1.861 -7.726 2.455
Co -0.826 -1.216 -0.376
Co -1.209 -9.182 0.118
Co -1.460 -5.089 1.318
Co -0.575 -5.309 -1.576
Si 1.531 -6.422 -2.325
Si -3.565 -3.977 2.066
Si -1.886 -6.824 -0.340
Si -0.148 -3.575 0.081


No. 3
8
Lattice="4.583 0.000 0.000 0.000 8.110 0.180 0.000 -2.797 7.741" Properties=species:S:1:pos:R:3 comment="GGA-PBE Ac4GaTe2As, relaxed" e_form_raw_ev_per_atom=-1.260 total_energy_ry_per_atom=-0.3719 sg="P2/m, No. 10" dos_ef_per_ev_atom=0.374 rho_g_cm3=7.49 pbc="T T T"
Ac 2.292 1.329 1.783
Ac 2.292 3.984 6.139
Ac 0.000 -0.072 6.009
Ac 0.000 5.385 1.913
Ga 2.292 4.055 0.090
Te 2.292 -1.399 3.871
Te 0.000 2.656 3.961
As 0.000 0.000 0.000